A plane-wave DFT calculation with GGA-PBE was carried out for a geometry-optimized NaTl8Cd2 structure.

Computed properties:
Crystal system ... monoclinic
M_tot ... 0.0 μB per formula unit
VASP energy ... -22.18 eV for the cell shown
Offset from the most stable computed form ... 0.0000 eV per atom

Cell lengths 8.9338, 8.9338, 7.9963 Å; angles 107.31, 107.31, 31.50 degrees
With the nearest neighbours (Å) after each atom.
Fractional coordinates of all 11 atoms:
Na: 0.0000 0.0000 0.0000  12 Tl 3.40-3.55
Tl: 0.0978 0.0978 0.4619  3 Cd 3.30-3.31, 8 Tl 3.46-3.60, 1 Na 3.55
Tl: 0.1816 0.1816 0.9145  8 Tl 3.36-3.50, 1 Na 3.40, 3 Cd 3.46-3.56
Tl: 0.3588 0.3588 0.8076  3 Cd 3.30-3.38, 7 Tl 3.41-3.56, 2 Na 3.44
Tl: 0.4518 0.4518 0.2725  9 Tl 3.36-3.56, 1 Cd 3.41, 2 Na 3.53
Tl: 0.5482 0.5482 0.7275  9 Tl 3.36-3.56, 1 Cd 3.41, 2 Na 3.53
Tl: 0.6412 0.6412 0.1924  3 Cd 3.30-3.38, 7 Tl 3.41-3.56, 2 Na 3.44
Tl: 0.8184 0.8184 0.0855  8 Tl 3.36-3.50, 1 Na 3.40, 3 Cd 3.46-3.56
Tl: 0.9022 0.9022 0.5381  3 Cd 3.30-3.31, 8 Tl 3.46-3.60, 1 Na 3.55
Cd: 0.2714 0.2714 0.3659  10 Tl 3.30-3.56, 2 Cd 3.46
Cd: 0.7286 0.7286 0.6341  10 Tl 3.30-3.56, 2 Cd 3.46